{"formula": "Sr2Zn2Sn", "functional": "PBE", "state": "optimized geometry", "ef_ev_per_atom": -0.26, "total_energy_ev_per_atom": -2.2426, "dos_ef_per_ev_cell": 4.51, "m_tot_mub_per_cell": 0.00, "lattice": [[-1.6602, -2.8700, -1.8887], [0.8400, -2.3731, 2.8676], [-9.2640, -0.4108, 4.9126]], "species": ["Zn", "Sr", "Zn", "Sn", "Sr"], "frac_coords": [[0.2500, 0.7500, 0.5000], [0.3922, 0.3922, 0.2156], [0.7500, 0.2500, 0.5000], [0.0000, 0.0000, 0.0000], [0.6078, 0.6078, 0.7844]]}